1.
VASP calculation (PBE) on Na2LiU3Se6 after structural relaxation.

```
data_Na2LiU3Se6
_chemical_formula_sum 'Na4 Li2 U6 Se12'
_cell_length_a 7.0721
_cell_length_b 12.2445
_cell_length_c 7.3709
_cell_angle_alpha 90.00
_cell_angle_beta 108.77
_cell_angle_gamma 90.00
_space_group_name_H-M_alt 'C 1 2/m 1'
_space_group_IT_number 12
loop_
_space_group_symop_operation_xyz
'x,y,z'
'-x,-y,-z'
'-x,y,-z'
'x,-y,z'
'x+1/2,y+1/2,z'
'-x+1/2,-y+1/2,-z'
'-x+1/2,y+1/2,-z'
'x+1/2,-y+1/2,z'
loop_
_atom_site_label
_atom_site_type_symbol
_atom_site_fract_x
_atom_site_fract_y
_atom_site_fract_z
Na1 Na 0.0000 0.1655 0.0000
Li1 Li 0.0000 0.5000 0.0000
U1 U 0.0000 0.0000 0.5000
U2 U 0.0000 0.3307 0.5000
Se1 Se 0.2409 0.5000 0.7404
Se2 Se 0.2479 0.3366 0.2551
```

## Properties
formation energy from raw total energies	-1.176	eV/atom
E	-6.12	eV/atom



2.
VASP calculation (PBE) on NaLi2U3Se6 after structural relaxation.

```
data_NaLi2U3Se6
_chemical_formula_sum 'Na2 Li4 U6 Se12'
_cell_length_a 17.9568
_cell_length_b 4.0483
_cell_length_c 8.2757
_cell_angle_alpha 90.00
_cell_angle_beta 105.05
_cell_angle_gamma 90.00
_space_group_name_H-M_alt 'C 1 2/m 1'
_space_group_IT_number 12
loop_
_space_group_symop_operation_xyz
'x,y,z'
'-x,-y,-z'
'-x,y,-z'
'x,-y,z'
'x+1/2,y+1/2,z'
'-x+1/2,-y+1/2,-z'
'-x+1/2,y+1/2,-z'
'x+1/2,-y+1/2,z'
loop_
_atom_site_label
_atom_site_type_symbol
_atom_site_fract_x
_atom_site_fract_y
_atom_site_fract_z
Na1 Na 0.0000 0.0000 0.0000
Li1 Li 0.1690 0.5000 0.3360
U1 U 0.0000 0.0000 0.5000
U2 U 0.1657 0.5000 0.8308
Se1 Se 0.0022 0.5000 0.2553
Se2 Se 0.1680 0.0000 0.5789
Se3 Se 0.1687 0.0000 0.0866
```

## Properties
formation energy from raw total energies	-1.175	eV/atom
E	-6.17	eV/atom